Computed, not measured: Nd2Te4MoO14 at its PBEsol-relaxed geometry at the meta-GGA SCAN level of DFT.

a b c (Å): 6.905 9.947 10.048
angles (deg): 90.46 107.60 93.79
Sites, in units of the cell vectors:
Nd  0.147  0.313  0.087
Nd  0.286  0.540  0.793
Nd  0.714  0.460  0.207
Nd  0.853  0.687  0.913
Te  0.126  0.271  0.460
Te  0.238  0.611  0.286
Te  0.429  0.834  0.627
Te  0.449  0.795  0.045
Te  0.551  0.205  0.955
Te  0.571  0.166  0.373
Te  0.762  0.389  0.714
Te  0.874  0.729  0.540
Mo  0.018  0.035  0.763
Mo  0.982  0.965  0.237
O  0.003  0.420  0.869
O  0.083  0.397  0.312
O  0.104  0.124  0.925
O  0.117  0.864  0.371
O  0.138  0.114  0.233
O  0.181  0.389  0.612
O  0.200  0.717  0.928
O  0.209  0.700  0.596
O  0.238  0.989  0.723
O  0.369  0.770  0.213
O  0.382  0.494  0.209
O  0.409  0.360  0.958
O  0.430  0.284  0.464
O  0.479  0.229  0.187
O  0.521  0.771  0.813
O  0.570  0.716  0.536
O  0.591  0.640  0.042
O  0.618  0.506  0.791
O  0.631  0.230  0.787
O  0.762  0.011  0.277
O  0.791  0.300  0.404
O  0.800  0.283  0.072
O  0.819  0.611  0.388
O  0.862  0.886  0.767
O  0.883  0.136  0.629
O  0.896  0.876  0.075
O  0.917  0.603  0.688
O  0.997  0.580  0.131

Properties
Volume   15.62 Å³ per atom
Formation energy from raw total energies   -2.032 eV/atom
Total magnetization   0.00 μB per formula unit

Computed, not measured: TiAlGeAu2 at its PBEsol-relaxed geometry at the meta-GGA SCAN level of DFT.

a b c (Å): 4.698 4.698 4.769
angles (deg): 90.00 90.00 90.00
Sites, in units of the cell vectors:
Ti  0.000  0.000  0.000
Al  0.500  0.500  0.000
Ge  0.000  0.000  0.500
Au  0.000  0.500  0.500
Au  0.500  0.000  0.500

Properties
Volume   21.05 Å³ per atom
Formation enthalpy at 0 K   0.36 eV per atom
Total magnetization   0.01 μB per formula unit

Computed density (kg/m3) in order:
5663, 8542